(1)
Mn2CdAu: optimized geometry, PBE.

Results
Formation energy from the elements = 0.1430 eV/atom

Cell and atoms, written as POSCAR:
```
Mn2CdAu
1.0
3.295 0.000 0.000
0.000 3.313 0.000
0.000 0.000 6.362
Mn Cd Au
2 1 1
Direct
0.000 0.000 0.238 Mn
0.000 0.000 0.762 Mn
0.500 0.500 0.500 Cd
0.500 0.500 0.000 Au
```

***

(2)
CuReNi2: optimized geometry, PBE.

Results
Formation energy from the elements = 0.2597 eV/atom

Cell and atoms, written as POSCAR:
```
CuReNi2
1.0
5.787 0.000 0.000
0.000 5.787 0.000
0.000 0.000 5.787
Cu Re Ni
4 4 8
Direct
0.000 0.000 0.000 Cu
0.000 0.500 0.500 Cu
0.500 0.000 0.500 Cu
0.500 0.500 0.000 Cu
0.250 0.250 0.750 Re
0.250 0.750 0.250 Re
0.750 0.250 0.250 Re
0.750 0.750 0.750 Re
0.000 0.000 0.500 Ni
0.000 0.500 0.000 Ni
0.250 0.250 0.250 Ni
0.250 0.750 0.750 Ni
0.500 0.000 0.000 Ni
0.500 0.500 0.500 Ni
0.750 0.250 0.750 Ni
0.750 0.750 0.250 Ni
```

***

(3)
KAlBRh2: optimized geometry, PBE.

Results
Formation energy from the elements = 1.4691 eV/atom

Cell and atoms, written as POSCAR:
```
KAlBRh2
1.0
4.558 0.000 0.000
0.000 4.558 0.000
0.000 0.000 5.529
K Al B Rh
1 1 1 2
Direct
0.000 0.000 0.000 K
0.000 0.000 0.500 Al
0.500 0.500 0.000 B
0.000 0.500 0.500 Rh
0.500 0.000 0.500 Rh
```

***

(4)
AcLuInCu: optimized geometry, PBE.

Results
Formation energy from the elements = -0.1906 eV/atom

Cell and atoms, written as POSCAR:
```
AcLuInCu
1.0
7.608 0.000 0.000
0.000 7.608 0.000
0.000 0.000 7.608
Ac Lu In Cu
4 4 4 4
Direct
0.000 0.000 0.000 Ac
0.000 0.500 0.500 Ac
0.500 0.000 0.500 Ac
0.500 0.500 0.000 Ac
0.000 0.000 0.500 Lu
0.000 0.500 0.000 Lu
0.500 0.000 0.000 Lu
0.500 0.500 0.500 Lu
0.250 0.250 0.750 In
0.250 0.750 0.250 In
0.750 0.250 0.250 In
0.750 0.750 0.750 In
0.250 0.250 0.250 Cu
0.250 0.750 0.750 Cu
0.750 0.250 0.750 Cu
0.750 0.750 0.250 Cu
```

***

(5)
Sr2TlSbPd6: optimized geometry, PBE.

Results
E_form (uncorrected) = -159.3 meV per atom

Cell and atoms, written as POSCAR:
```
Sr2TlSbPd6
1.0
0.000 5.076 5.076
5.076 0.000 5.076
5.076 5.076 0.000
Sr Tl Sb Pd
2 1 1 6
Direct
0.250 0.250 0.250 Sr
0.750 0.750 0.750 Sr
0.000 0.000 0.000 Tl
0.500 0.500 0.500 Sb
0.255 0.255 0.745 Pd
0.255 0.745 0.255 Pd
0.255 0.745 0.745 Pd
0.745 0.255 0.255 Pd
0.745 0.255 0.745 Pd
0.745 0.745 0.255 Pd
```

***

(6)
AcPr4Sm2Th: optimized geometry, PBE.

Results
Formation energy from the elements = 0.1353 eV/atom

Cell and atoms, written as POSCAR:
```
AcPr4Sm2Th
1.0
9.754 0.000 0.000
0.000 6.195 0.000
-1.817 0.000 9.537
Ac Pr Sm Th
2 8 4 2
Direct
0.000 0.000 0.000 Ac
0.500 0.500 0.000 Ac
0.128 0.000 0.387 Pr
0.128 0.500 0.863 Pr
0.372 0.000 0.137 Pr
0.372 0.500 0.613 Pr
0.628 0.000 0.863 Pr
0.628 0.500 0.387 Pr
0.872 0.000 0.613 Pr
0.872 0.500 0.137 Pr
0.241 0.500 0.250 Sm
0.259 0.000 0.750 Sm
0.741 0.000 0.250 Sm
0.759 0.500 0.750 Sm
0.000 0.500 0.500 Th
0.500 0.000 0.500 Th
```

***

(7)
CaPmGaPd: optimized geometry, PBE.

Results
Formation energy from the elements = -0.6227 eV/atom

Cell and atoms, written as POSCAR:
```
CaPmGaPd
1.0
4.451 0.000 0.000
0.000 3.976 0.000
0.000 0.000 11.257
Ca Pm Ga Pd
2 2 2 2
Direct
0.000 0.000 0.000 Ca
0.000 0.500 0.500 Ca
0.500 0.000 0.713 Pm
0.500 0.500 0.213 Pm
0.500 0.000 0.426 Ga
0.500 0.500 0.926 Ga
0.000 0.000 0.286 Pd
0.000 0.500 0.786 Pd
```

***

(8)
BSeI: optimized geometry, PBE.

Results
E_form (uncorrected) = 402.9 meV per atom

Cell and atoms, written as POSCAR:
```
BSeI
1.0
10.077 0.000 0.000
0.000 3.282 0.000
0.000 0.000 10.757
B Se I
4 4 4
Direct
0.040 0.250 0.094 B
0.460 0.750 0.594 B
0.540 0.250 0.406 B
0.960 0.750 0.906 B
0.139 0.750 0.003 Se
0.361 0.250 0.503 Se
0.639 0.750 0.497 Se
0.861 0.250 0.997 Se
0.003 0.250 0.713 I
0.497 0.750 0.213 I
0.503 0.250 0.787 I
0.997 0.750 0.287 I
```

***

(9)
Be2ReHg: optimized geometry, PBE.

Results
Formation energy from the elements = 0.4418 eV/atom

Cell and atoms, written as POSCAR:
```
Be2ReHg
1.0
8.295 0.000 0.000
0.000 2.714 0.000
-0.681 0.000 5.099
Be Re Hg
4 2 2
Direct
0.237 0.000 0.163 Be
0.263 0.500 0.837 Be
0.737 0.500 0.163 Be
0.763 0.000 0.837 Be
0.000 0.500 0.000 Re
0.500 0.000 0.000 Re
0.000 0.000 0.500 Hg
0.500 0.500 0.500 Hg
```

***

(10)
CaMgBe: optimized geometry, PBE.

Results
Formation energy from the elements = 0.1497 eV/atom

Cell and atoms, written as POSCAR:
```
CaMgBe
1.0
3.722 0.000 0.000
0.000 3.983 0.000
-1.852 0.000 9.367
Ca Mg Be
2 2 2
Direct
0.000 0.000 0.000 Ca
0.217 0.000 0.438 Ca
0.380 0.500 0.764 Mg
0.609 0.500 0.220 Mg
0.785 0.500 0.574 Be
0.832 0.000 0.671 Be
```

***

(11)
GaTcRh: optimized geometry, PBE.

Results
Formation energy from the elements = -0.2410 eV/atom

Cell and atoms, written as POSCAR:
```
GaTcRh
1.0
2.778 0.000 0.000
0.000 2.778 0.000
0.000 0.000 11.193
Ga Tc Rh
2 2 2
Direct
0.000 0.000 0.000 Ga
0.500 0.500 0.500 Ga
0.000 0.000 0.327 Tc
0.500 0.500 0.827 Tc
0.000 0.000 0.668 Rh
0.500 0.500 0.168 Rh
```

***

(12)
CuAsO2: optimized geometry, PBE.

Results
E_form (uncorrected) = -462.0 meV per atom

Cell and atoms, written as POSCAR:
```
CuAsO2
1.0
4.469 0.000 0.000
0.000 4.469 0.000
0.000 0.000 10.724
Cu As O
4 4 8
Direct
0.000 0.000 0.000 Cu
0.000 0.500 0.250 Cu
0.500 0.000 0.750 Cu
0.500 0.500 0.500 Cu
0.000 0.000 0.500 As
0.000 0.500 0.750 As
0.500 0.000 0.250 As
0.500 0.500 0.000 As
0.245 0.250 0.625 O
0.250 0.745 0.875 O
0.250 0.755 0.375 O
0.255 0.250 0.125 O
0.745 0.750 0.125 O
0.750 0.245 0.375 O
0.750 0.255 0.875 O
0.755 0.750 0.625 O
```

***

(13)
CaSiBO: optimized geometry, PBE.

Results
E_form (uncorrected) = -1114.0 meV per atom

Cell and atoms, written as POSCAR:
```
CaSiBO
1.0
5.904 0.000 0.000
0.000 3.531 0.000
-1.974 0.000 5.841
Ca Si B O
2 2 2 2
Direct
0.000 0.000 0.000 Ca
0.500 0.500 0.000 Ca
0.202 0.000 0.593 Si
0.702 0.500 0.593 Si
0.302 0.500 0.421 B
0.802 0.000 0.421 B
0.222 0.500 0.182 O
0.722 0.000 0.182 O
```

***

(14)
Zr3CuTc: optimized geometry, PBE.

Results
Formation energy from the elements = -0.2235 eV/atom

Cell and atoms, written as POSCAR:
```
Zr3CuTc
1.0
2.317 -8.763 0.000
2.317 8.763 0.000
0.000 0.000 4.653
Zr Cu Tc
6 2 2
Direct
0.061 0.939 0.750 Zr
0.250 0.750 0.750 Zr
0.438 0.562 0.750 Zr
0.562 0.438 0.250 Zr
0.750 0.250 0.250 Zr
0.939 0.061 0.250 Zr
0.343 0.657 0.250 Cu
0.657 0.343 0.750 Cu
0.156 0.844 0.250 Tc
0.844 0.156 0.750 Tc
```

***

(15)
Li2Mg: optimized geometry, PBE.

Results
Formation energy from the elements = -0.0367 eV/atom

Cell and atoms, written as POSCAR:
```
Li2Mg
1.0
9.350 0.000 0.000
0.000 4.516 0.000
-1.704 0.000 5.760
Li Mg
8 4
Direct
0.000 0.000 0.000 Li
0.001 0.000 0.500 Li
0.171 0.500 0.334 Li
0.330 0.000 0.666 Li
0.500 0.500 0.000 Li
0.501 0.500 0.500 Li
0.671 0.000 0.334 Li
0.830 0.500 0.666 Li
0.161 0.500 0.829 Mg
0.338 0.000 0.171 Mg
0.661 0.000 0.829 Mg
0.838 0.500 0.171 Mg
```

***

(16)
NpInAg2I8: optimized geometry, PBE.

Results
E_form (uncorrected) = -415.1 meV per atom

Cell and atoms, written as POSCAR:
```
NpInAg2I8
1.0
-4.915 4.915 5.129
4.915 -4.915 5.129
4.915 4.915 -5.129
Np In Ag I
1 1 2 8
Direct
0.000 0.000 0.000 Np
0.250 0.750 0.500 In
0.500 0.500 0.000 Ag
0.750 0.250 0.500 Ag
0.287 0.104 0.817 I
0.287 0.470 0.183 I
0.355 0.051 0.304 I
0.530 0.713 0.817 I
0.747 0.051 0.696 I
0.896 0.713 0.183 I
0.949 0.253 0.304 I
0.949 0.645 0.696 I
```

***

(17)
PrAlSi2: optimized geometry, PBE.

Results
E_form (uncorrected) = -407.2 meV per atom

Cell and atoms, written as POSCAR:
```
PrAlSi2
1.0
13.600 0.000 0.000
0.000 4.197 0.000
0.000 0.000 11.226
Pr Al Si
8 8 16
Direct
0.053 0.250 0.238 Pr
0.200 0.750 0.967 Pr
0.300 0.250 0.467 Pr
0.447 0.750 0.738 Pr
0.553 0.250 0.262 Pr
0.700 0.750 0.533 Pr
0.800 0.250 0.033 Pr
0.947 0.750 0.762 Pr
0.062 0.250 0.555 Al
0.192 0.750 0.662 Al
0.308 0.250 0.162 Al
0.438 0.750 0.055 Al
0.562 0.250 0.945 Al
0.692 0.750 0.838 Al
0.808 0.250 0.338 Al
0.938 0.750 0.445 Al
0.024 0.250 0.960 Si
0.110 0.250 0.777 Si
0.127 0.750 0.440 Si
0.216 0.750 0.244 Si
0.284 0.250 0.744 Si
0.373 0.250 0.940 Si
0.390 0.750 0.277 Si
0.476 0.750 0.460 Si
0.524 0.250 0.540 Si
0.610 0.250 0.723 Si
0.627 0.750 0.060 Si
0.716 0.750 0.256 Si
0.784 0.250 0.756 Si
0.873 0.250 0.560 Si
0.890 0.750 0.223 Si
0.976 0.750 0.040 Si
```

***

(18)
DyYFeNi: optimized geometry, PBE.

Results
Formation energy from the elements = -0.0672 eV/atom

Cell and atoms, written as POSCAR:
```
DyYFeNi
1.0
6.716 0.000 0.000
0.000 6.716 0.000
0.000 0.000 6.716
Dy Y Fe Ni
4 4 4 4
Direct
0.000 0.000 0.000 Dy
0.000 0.500 0.500 Dy
0.500 0.000 0.500 Dy
0.500 0.500 0.000 Dy
0.000 0.000 0.500 Y
0.000 0.500 0.000 Y
0.500 0.000 0.000 Y
0.500 0.500 0.500 Y
0.250 0.250 0.250 Fe
0.250 0.750 0.750 Fe
0.750 0.250 0.750 Fe
0.750 0.750 0.250 Fe
0.250 0.250 0.750 Ni
0.250 0.750 0.250 Ni
0.750 0.250 0.250 Ni
0.750 0.750 0.750 Ni
```

***

(19)
Y3Mg8Sc3: optimized geometry, PBE.

Results
Formation energy from the elements = 0.0248 eV/atom

Cell and atoms, written as POSCAR:
```
Y3Mg8Sc3
1.0
-2.519 5.852 6.151
2.519 -5.852 6.151
2.519 5.852 -6.151
Y Mg Sc
3 8 3
Direct
0.000 0.000 0.000 Y
0.281 0.281 0.000 Y
0.719 0.719 0.000 Y
0.010 0.634 0.376 Mg
0.125 0.857 0.268 Mg
0.259 0.634 0.624 Mg
0.412 0.143 0.268 Mg
0.588 0.857 0.732 Mg
0.741 0.366 0.376 Mg
0.875 0.143 0.732 Mg
0.990 0.366 0.624 Mg
0.350 0.500 0.850 Sc
0.500 0.000 0.500 Sc
0.650 0.500 0.150 Sc
```

***

(20)
LaTb2NdTm4: optimized geometry, PBE.

Results
Formation energy from the elements = 0.0237 eV/atom

Cell and atoms, written as POSCAR:
```
LaTb2NdTm4
1.0
7.174 0.000 0.000
0.028 7.175 0.000
0.009 0.007 9.935
La Tb Nd Tm
2 4 2 8
Direct
0.000 0.000 0.000 La
0.000 0.500 0.000 La
0.000 0.000 0.500 Tb
0.500 0.000 0.000 Tb
0.500 0.000 0.500 Tb
0.500 0.500 0.500 Tb
0.000 0.500 0.500 Nd
0.500 0.500 0.000 Nd
0.253 0.248 0.253 Tm
0.253 0.248 0.747 Tm
0.253 0.752 0.253 Tm
0.253 0.752 0.747 Tm
0.747 0.248 0.253 Tm
0.747 0.248 0.747 Tm
0.747 0.752 0.253 Tm
0.747 0.752 0.747 Tm
```